Density functional theory data (GGA+U) for crystalline Tl3MoO at its relaxed geometry.

Properties
**Energy above the lowest structure with this stoichiometry**: 594.0 meV per atom
**Energy**: -2.878 eV per atom

Unit cell a=5.599 b=5.599 c=5.599 alpha=90.00 beta=90.00 gamma=90.00
Space group Pm-3m (No. 221)
Symmetry-distinct sites (fractional):
Tl 0.000 0.000 0.500 x3
Mo 0.000 0.000 0.000 x1
O 0.500 0.500 0.500 x1

Density functional theory data (GGA+U) for crystalline TlMoO2 at its relaxed geometry.

Properties
**Energy above the lowest structure with this stoichiometry**: 368.9 meV per atom
**Energy**: -5.676 eV per atom

Unit cell a=5.545 b=5.545 c=10.470 alpha=90.00 beta=90.00 gamma=90.00
Space group I-42d (No. 122)
Symmetry-distinct sites (fractional):
Tl 0.000 0.000 0.000 x4
Mo 0.000 0.000 0.500 x4
O 0.117 0.250 0.625 x8

Density functional theory data (GGA+U) for crystalline TlMoO3 at its relaxed geometry.

Properties
**Energy**: -6.125 eV per atom

Unit cell a=4.031 b=4.031 c=4.031 alpha=90.00 beta=90.00 gamma=90.00
Space group Pm-3m (No. 221)
Symmetry-distinct sites (fractional):
Tl 0.000 0.000 0.000 x1
Mo 0.500 0.500 0.500 x1
O 0.000 0.500 0.500 x3

Density functional theory data (GGA+U) for crystalline TlMoO3 at its relaxed geometry.

Properties
**Energy**: -6.094 eV per atom

Unit cell a=15.980 b=3.372 c=7.633 alpha=90.00 beta=96.75 gamma=90.00
Space group C2/m (No. 12)
Symmetry-distinct sites (fractional):
Tl 0.143 0.000 0.323 x4
Mo 0.114 0.500 0.815 x4
O 0.049 0.000 0.767 x4
O 0.149 0.500 0.047 x4
O 0.189 0.500 0.656 x4

Density functional theory data (GGA+U) for crystalline TlMo2O6 at its relaxed geometry.

Properties
**Energy above the lowest structure with this stoichiometry**: 0.0 meV per atom
**Energy**: -6.579 eV per atom

Unit cell a=9.850 b=3.880 c=8.163 alpha=90.00 beta=106.83 gamma=90.00
Space group C2/m (No. 12)
Symmetry-distinct sites (fractional):
Tl 0.000 0.000 0.000 x2
Mo 0.170 0.000 0.614 x4
O 0.001 0.000 0.345 x4
O 0.193 0.500 0.554 x4
O 0.207 0.500 0.182 x4

Density functional theory data (GGA+U) for crystalline TlMo2O6 at its relaxed geometry.

Properties
**Energy above the lowest structure with this stoichiometry**: 57.8 meV per atom
**Energy**: -6.521 eV per atom

Unit cell a=14.020 b=11.272 c=5.955 alpha=90.00 beta=112.91 gamma=90.00
Space group C2/c (No. 15)
Symmetry-distinct sites (fractional):
Tl 0.000 0.143 0.250 x4
Mo 0.190 0.394 0.686 x8
O 0.079 0.303 0.570 x8
O 0.187 0.493 0.945 x8
O 0.193 0.184 0.217 x8

Density functional theory data (GGA+U) for crystalline Tl2Mo2O at its relaxed geometry.

Properties
**Energy above the lowest structure with this stoichiometry**: 0.0 meV per atom
**Energy**: -3.862 eV per atom

Unit cell a=6.801 b=6.801 c=4.887 alpha=90.00 beta=90.00 gamma=90.00
Space group P4/mbm (No. 127)
Symmetry-distinct sites (fractional):
Tl 0.160 0.340 0.000 x4
Mo 0.162 0.662 0.500 x4
O 0.000 0.000 0.000 x2

Density functional theory data (GGA+U) for crystalline TlMo2O at its relaxed geometry.

Properties
**Energy above the lowest structure with this stoichiometry**: 1238.1 meV per atom
**Energy**: -3.810 eV per atom

Unit cell a=6.353 b=6.353 c=6.353 alpha=90.00 beta=90.00 gamma=90.00
Space group Fm-3m (No. 225)
Symmetry-distinct sites (fractional):
Tl 0.000 0.000 0.000 x4
Mo 0.250 0.250 0.250 x8
O 0.000 0.000 0.500 x4

Which of these has the lowest energy? number 5